First-principles (PBE+U) data for RbCaVTePdF after structural relaxation, as listed in Alexandria.

POSCAR file:
```
RbCaVTePdF
1.0
2.052 1.185 11.150
-2.052 1.185 11.150
0.000 -2.370 11.150
Rb Ca V Te Pd F
1 1 1 1 1 1
direct
0.000 0.000 0.000
0.215 0.215 0.215
0.108 0.108 0.108
0.489 0.489 0.489
0.735 0.735 0.735
0.912 0.912 0.912
```

Summary:
As for the space-group type: R3m (160). The energy relative to the lowest polymorph listed for this composition is 75 meV/atom. For the density of states at the Fermi level, the calculation gives 0.240 states/eV per atom. As for the crystal system: trigonal.